No. 1
Computed, not measured: a geometry-optimized Ho4CdIn structure at the GGA-PBE level of DFT.

Output
ΔE to the lowest computed polymorph in meV/atom: 0
Energy relative to the elements in kJ/mol of formula units: -144
Space group: C2/m

Cell: 3.478 7.288 8.833 Å, 122.52 78.64 76.19°
Atoms (fractional coordinates):
Ho 0.828 0.515 0.829
Ho 0.671 0.986 0.671
Ho 0.329 0.014 0.329
Ho 0.172 0.485 0.171
Cd 0.000 0.000 0.000
In 0.500 0.500 0.500



No. 2
Computed, not measured: a geometry-optimized Li2AgP structure at the GGA-PBE level of DFT.

Output
Energy relative to the elements in kJ/mol of formula units: -13
Space group: P4mm

Cell: 2.791 2.791 8.509 Å, 90.00 90.00 90.02°
Atoms (fractional coordinates):
P 0.000 0.000 0.482
Ag 0.500 0.500 0.751
Li 0.500 0.500 0.284
Li 0.000 0.000 0.984



No. 3
Computed, not measured: a geometry-optimized OsRu3Rh structure at the GGA-PBE level of DFT.

Output
ΔE to the lowest computed polymorph in meV/atom: 0
Energy relative to the elements in kJ/mol of formula units: 38
Space group: P2_1/m

Cell: 3.839 6.054 6.057 Å, 90.00 90.00 90.00°
Atoms (fractional coordinates):
Ru 0.624 0.795 0.570
Ru 0.124 0.102 0.468
Rh 0.124 0.897 0.874
Ru 0.124 0.499 0.672
Ru 0.624 0.599 0.976
Ru 0.124 0.303 0.078
Os 0.624 0.399 0.371
Rh 0.624 0.201 0.773
Ru 0.624 0.997 0.179
Os 0.124 0.699 0.276



No. 4
Computed, not measured: a geometry-optimized BaTl3Bi structure at the GGA-PBE level of DFT.

Output
ΔE to the lowest computed polymorph in meV/atom: 942
Energy relative to the elements in kJ/mol of formula units: 317
Space group: Pm-3m

Cell: 6.317 6.317 6.317 Å, 90.00 90.00 90.00°
Atoms (fractional coordinates):
Tl 0.500 0.000 0.000
Bi 0.500 0.500 0.500
Ba 0.000 0.000 0.000
Tl 0.000 0.000 0.500
Tl 0.000 0.500 0.000



No. 5
Computed, not measured: a geometry-optimized TmVFe10 structure at the GGA-PBE level of DFT.

Output
Energy relative to the elements in kJ/mol of formula units: 81
Space group: Pmmm

Cell: 4.005 4.784 8.237 Å, 90.00 90.00 90.00°
Site moments in Bohr magnetons follow the coordinates.
Atoms (fractional coordinates):
Fe 0.500 0.500 0.000  2.18
Fe 0.000 0.000 0.345  1.97
V 0.000 0.500 0.500  -1.85
Fe 0.000 0.500 0.187  2.07
Fe 0.000 0.500 0.813  2.07
Fe 0.500 0.748 0.742  1.80
Fe 0.500 0.000 0.500  1.49
Fe 0.000 0.000 0.655  1.97
Tm 0.000 0.000 0.000  -0.42
Fe 0.500 0.252 0.258  1.80
Fe 0.500 0.252 0.742  1.80
Fe 0.500 0.748 0.258  1.80



No. 6
Computed, not measured: a geometry-optimized RbPrMnTe3 structure at the GGA-PBE level of DFT.

Output
Uncorrected formation energy in meV per atom: -979
Space group: P2_1/m

Cell: 4.603 10.122 10.728 Å, 108.13 90.00 90.00°
Site moments in Bohr magnetons follow the coordinates.
Atoms (fractional coordinates):
Te 0.750 0.200 0.533  0.07
Pr 0.250 0.671 0.141  0.03
Te 0.250 0.106 0.861  0.04
Mn 0.250 0.085 0.606  4.19
Pr 0.750 0.329 0.859  0.03
Rb 0.750 0.793 0.762  0.00
Mn 0.750 0.915 0.394  4.19
Te 0.250 0.800 0.467  0.07
Rb 0.250 0.207 0.238  0.00
Te 0.750 0.464 0.168  0.02
Te 0.250 0.536 0.832  0.02
Te 0.750 0.894 0.139  0.04



No. 7
Computed, not measured: a geometry-optimized Nd3Th2NpN6 structure at the GGA-PBE level of DFT.

Output
Uncorrected formation energy in meV per atom: -1413
Space group: C2/m

Cell: 6.272 6.272 6.270 Å, 99.64 99.64 119.95°
Site moments in Bohr magnetons follow the coordinates.
Atoms (fractional coordinates):
N 0.075 0.392 0.226  -0.05
N 0.392 0.075 0.226  -0.05
N 0.756 0.756 0.230  -0.04
Th 0.333 0.667 0.000  0.03
N 0.925 0.608 0.774  -0.05
Nd 0.165 0.835 0.500  0.03
N 0.244 0.244 0.770  -0.04
Np 0.000 0.000 0.000  2.88
Nd 0.835 0.165 0.500  0.03
Nd 0.500 0.500 0.500  0.03
N 0.608 0.925 0.774  -0.05
Th 0.667 0.333 0.000  0.03



No. 8
Computed, not measured: a geometry-optimized La2EuBe structure at the GGA-PBE level of DFT.

Output
Energy relative to the elements in kJ/mol of formula units: 47
Space group: P4/mmm

Cell: 3.722 3.722 9.041 Å, 90.00 90.00 90.00°
Site moments in Bohr magnetons follow the coordinates.
Atoms (fractional coordinates):
La 0.000 0.000 0.177  0.11
La 0.000 0.000 0.823  0.11
Eu 0.500 0.500 0.500  7.01
Be 0.500 0.500 0.000  -0.02



No. 9
Computed, not measured: a geometry-optimized Zr3As2H2 structure at the GGA-PBE level of DFT.

Output
VASP energy in eV/atom: -6.6448
Space group: P2_1/c

Cell: 7.329 6.578 5.338 Å, 90.00 62.47 90.00°
Atoms (fractional coordinates):
Zr 0.726 0.037 0.656
As 0.881 0.679 0.788
As 0.119 0.321 0.212
H 0.656 0.333 0.657
H 0.156 0.167 0.657
Zr 0.274 0.963 0.344
Zr 0.000 0.000 0.000
Zr 0.774 0.537 0.344
H 0.344 0.667 0.343
As 0.381 0.821 0.788
Zr 0.226 0.463 0.656
As 0.619 0.179 0.212
H 0.844 0.833 0.343
Zr 0.500 0.500 0.000



No. 10
Computed, not measured: a geometry-optimized CsCuI2F structure at the GGA-PBE level of DFT.

Output
Uncorrected formation energy in meV per atom: -952
Space group: P4/mmm

Cell: 6.041 6.041 4.095 Å, 90.00 90.00 90.00°
Atoms (fractional coordinates):
I 0.000 0.500 0.000
I 0.500 0.000 0.000
Cu 0.000 0.000 0.000
Cs 0.500 0.500 0.500
F 0.000 0.000 0.500



No. 11
Computed, not measured: a geometry-optimized CaTh2ScSb4 structure at the GGA-PBE level of DFT.

Output
Uncorrected formation energy in meV per atom: -941
Space group: P2/m

Cell: 4.452 7.730 7.572 Å, 109.72 90.00 90.00°
Atoms (fractional coordinates):
Sc 0.000 0.000 0.000
Sb 0.500 0.238 0.234
Sb 0.000 0.245 0.759
Th 0.000 0.500 0.500
Ca 0.500 0.500 0.000
Sb 0.000 0.755 0.241
Th 0.500 0.000 0.500
Sb 0.500 0.762 0.766



No. 12
Computed, not measured: a geometry-optimized TmCdNiAg structure at the GGA-PBE level of DFT.

Output
Energy relative to the elements in kJ/mol of formula units: -84
Space group: F-43m

Cell: 4.749 4.749 4.749 Å, 60.00 60.00 60.00°
Atoms (fractional coordinates):
Ag 0.000 0.000 0.000
Tm 0.250 0.250 0.250
Ni 0.500 0.500 0.500
Cd 0.750 0.750 0.750



Number 1: total magnetic moment 0.00 μB per formula unit. Number 2: total magnetic moment 0.00 μB per formula unit. Number 3: total magnetic moment 0.00 μB per formula unit. Number 4: total magnetic moment 0.00 μB per formula unit. Number 5: total magnetic moment 16.24 μB per formula unit. Number 6: total magnetic moment 5.00 μB per formula unit. Number 7: total magnetic moment 2.98 μB per formula unit. Number 8: total magnetic moment 8.07 μB per formula unit. Number 9: total magnetic moment 0.00 μB per formula unit. Number 10: total magnetic moment 0.00 μB per formula unit. Number 11: total magnetic moment 0.00 μB per formula unit. Number 12: total magnetic moment 0.00 μB per formula unit.